--- one ---
First-principles (GGA-PBE) data for a relaxed structure of HgTeP2, as listed in Alexandria via LeMat-Bulk.

* D(E_F): 1.9 states/eV/f.u.
* density: 6.41 g/cm³
* size of the total moment: 0.00 μB per cell
* SG: Imm2 (44)

a = 7.7014 Å, b = 7.7014 Å, c = 7.7014 Å
α = 156.12°, β = 146.81°, γ = 41.30°
Positions (direct):
Hg 0.0000 0.0000 0.0000
Te 0.6348 0.1348 0.5000
P 0.2784 0.7784 0.5000
P 0.3780 0.3780 0.0000


--- two ---
First-principles (GGA-PBE) data for a relaxed structure of HgTeP2, as listed in Alexandria via LeMat-Bulk.

* D(E_F): 2.2 states/eV/f.u.
* density: 7.88 g/cm³
* size of the total moment: 0.00 μB per cell
* SG: Fm-3m (225)

a = 4.8808 Å, b = 4.8808 Å, c = 4.8808 Å
α = 60.00°, β = 60.00°, γ = 60.00°
Positions (direct):
Hg 0.0000 0.0000 0.0000
Te 0.5000 0.5000 0.5000
P 0.2500 0.2500 0.2500
P 0.7500 0.7500 0.7500


--- three ---
First-principles (GGA-PBE) data for a relaxed structure of HgTeP2, as listed in Alexandria via LeMat-Bulk.

* D(E_F): 1.4 states/eV/f.u.
* density: 5.72 g/cm³
* size of the total moment: 0.00 μB per cell
* SG: I-42d (122)

a = 7.8940 Å, b = 7.8940 Å, c = 7.8940 Å
α = 136.93°, β = 136.93°, γ = 62.54°
Positions (direct):
Hg 0.0000 0.0000 0.0000
Hg 0.7500 0.2500 0.5000
Te 0.2500 0.7500 0.5000
Te 0.5000 0.5000 0.0000
P 0.1206 0.6250 0.9956
P 0.3750 0.3706 0.4956
P 0.6294 0.1250 0.0044
P 0.8750 0.8794 0.5044


--- four ---
First-principles (GGA-PBE) data for a relaxed structure of HgTeP2, as listed in Alexandria via LeMat-Bulk.

* D(E_F): 2.5 states/eV/f.u.
* density: 6.64 g/cm³
* size of the total moment: 0.00 μB per cell
* SG: R3m (160)

a = 10.5137 Å, b = 10.5137 Å, c = 10.5137 Å
α = 18.06°, β = 18.06°, γ = 18.06°
Positions (direct):
Hg 0.0000 0.0000 0.0000
Te 0.2268 0.2268 0.2268
P 0.4685 0.4685 0.4685
P 0.7627 0.7627 0.7627


Of them, the most stable is four and the least stable is two.


--- one ---
First-principles (GGA-PBE) data for a relaxed structure of HgTeP2, as listed in Alexandria via LeMat-Bulk.

* D(E_F): 1.0 states/eV/f.u.
* density: 6.58 g/cm³
* size of the total moment: 0.00 μB per cell
* SG: Pmm2 (25)

a = 3.1678 Å, b = 3.2583 Å, c = 9.5356 Å
α = 90.00°, β = 90.00°, γ = 90.00°
Positions (direct):
Hg 0.0000 0.0000 0.0000
Te 0.5000 0.5000 0.6830
P 0.0000 0.0000 0.3429
P 0.5000 0.5000 0.4088


--- two ---
First-principles (GGA-PBE) data for a relaxed structure of HgTeP2, as listed in Alexandria via LeMat-Bulk.

* D(E_F): 1.6 states/eV/f.u.
* density: 7.43 g/cm³
* size of the total moment: 0.00 μB per cell
* SG: C2/m (12)

a = 3.9551 Å, b = 3.9551 Å, c = 6.8307 Å
α = 107.09°, β = 107.09°, γ = 60.20°
Positions (direct):
Hg 0.0000 0.0000 0.0000
Te 0.5000 0.5000 0.5000
P 0.2507 0.2507 0.7501
P 0.7493 0.7493 0.2499


Of them, the most stable is one and the least stable is two.


--- one ---
First-principles (GGA-PBE) data for a relaxed structure of HgTeP2, as listed in Alexandria via LeMat-Bulk.

* D(E_F): 2.4 states/eV/f.u.
* density: 6.24 g/cm³
* size of the total moment: 0.55 μB per cell
* SG: Pmmm (47)

a = 3.7603 Å, b = 3.7730 Å, c = 7.3132 Å
α = 90.00°, β = 90.00°, γ = 90.00°
Positions (direct):
Hg 0.0000 0.0000 0.0000
Te 0.0000 0.5000 0.5000
P 0.5000 0.0000 0.5000
P 0.5000 0.5000 0.0000


--- two ---
First-principles (GGA-PBE) data for a relaxed structure of HgTeP2, as listed in Alexandria via LeMat-Bulk.

* D(E_F): 2.7 states/eV/f.u.
* density: 5.69 g/cm³
* size of the total moment: 0.00 μB per cell
* SG: Immm (71)

a = 5.8485 Å, b = 5.8485 Å, c = 5.8485 Å
α = 142.94°, β = 100.23°, γ = 91.40°
Positions (direct):
Hg 0.0000 0.0000 0.0000
Te 0.5000 0.0000 0.5000
P 0.2533 0.5000 0.7533
P 0.7467 0.5000 0.2467


Of them, the most stable is two and the least stable is one.